Below is La2InBr after structural relaxation, with properties calculated at the GGA-PBE level.

**Symmetry**: No. 59
**Crystal system**: orthorhombic
**Formation energy without anion corrections**: -805 meV per atom

Cell lengths 4.487, 5.111, 11.215 Å; angles 90.00, 90.00, 90.00 degrees
Element x y z (fractional)
La  0.250  0.250  0.033
La  0.250  0.750  0.682
La  0.750  0.250  0.318
La  0.750  0.750  0.967
In  0.250  0.750  0.208
In  0.750  0.250  0.792
Br  0.250  0.250  0.519
Br  0.750  0.750  0.481



Below is Pd6PbAu after structural relaxation, with properties calculated at the GGA-PBE level.

**Symmetry**: No. 2
**Crystal system**: triclinic
**E_form**: -0.057 eV per atom

Cell lengths 5.192, 5.194, 5.205 Å; angles 94.84, 94.81, 95.22 degrees
Element x y z (fractional)
Pd  0.048  0.452  0.247
Pd  0.252  0.951  0.050
Pd  0.451  0.747  0.549
Pd  0.549  0.253  0.451
Pd  0.748  0.049  0.950
Pd  0.952  0.548  0.753
Pb  0.000  0.000  0.500
Au  0.500  0.500  0.000



These records have volume values of 129; 139 Å³/f.u., in the order they appear.
These records have M_tot values of 0.00; 0.00 μB/f.u., in the order they appear.